(1)
Density functional theory data (PBE) for crystalline Na3ZrSn2S6 at its relaxed geometry.

Cell and atoms, written as extended XYZ:
```
12
Lattice="-2.708 -5.265 -3.530 6.796 1.138 -0.174 -0.586 -2.523 6.475" Properties=species:S:1:pos:R:3 pbc="T T T"
Na 4.876 -1.220 2.488
Na -1.374 -5.430 0.282
Na 1.751 -3.325 1.385
Zr 0.000 0.000 0.000
Sn 3.620 -1.002 -1.296
Sn 0.468 -3.125 -2.408
S 1.201 -6.136 1.657
S 2.983 -3.701 -1.388
S 2.301 -0.514 1.114
S 4.176 -4.132 2.707
S 0.518 -2.948 4.158
S -0.674 -2.518 0.064
```

* magnetization: 0.000 μB/atom
* symmetry: C2/m (12)
* calculated density: 3.62 g cm⁻³
* uncorrected formation energy: -1.0325 eV/atom

(2)
Density functional theory data (PBE) for crystalline AlFeSe2 at its relaxed geometry.

Cell and atoms, written as extended XYZ:
```
4
Lattice="6.305 -0.019 -0.035 -3.325 4.062 0.050 -0.345 1.915 3.476" Properties=species:S:1:pos:R:3 pbc="T T T"
Fe 1.490 2.022 0.008
Se 0.000 0.000 0.000
Se 2.980 0.948 1.721
Al -1.835 2.988 1.763
```

* magnetization: 0.780 μB/atom
* symmetry: C2/m (12)
* calculated density: 4.52 g cm⁻³
* uncorrected formation energy: 0.0653 eV/atom